This record from Alexandria describes a geometry-optimized KRePtF2 structure. The functional is GGA-PBEsol.

The structure belongs to space group P4/mmm (No. 123); the cell edges are 4.2307, 4.2307 and 4.8554 Å and the angles 90.00°, 90.00° and 90.00°. The inequivalent atoms are K at (0.0000, 0.0000, 0.0000), Re at (0.5000, 0.5000, 0.5000), Pt at (0.5000, 0.5000, 0.0000) and F at (0.0000, 0.5000, 0.5000).

The energy comes out at -5.57 eV per atom.

This record from Alexandria describes a geometry-optimized K2SbPtF structure. The functional is GGA-PBEsol.

The structure belongs to space group P4/mmm (No. 123); the cell edges are 6.1822, 6.1822 and 4.8259 Å and the angles 90.00°, 90.00° and 90.00°. The inequivalent atoms are K at (0.0000, 0.5000, 0.0000), Sb at (0.0000, 0.0000, 0.5000), Pt at (0.0000, 0.0000, 0.0000) and F at (0.5000, 0.5000, 0.5000).

The energy comes out at -3.81 eV per atom.

This record from Alexandria describes a geometry-optimized KRb2F2 structure. The functional is GGA-PBEsol.

The structure belongs to space group I4/mmm (No. 139); the cell edges are 5.2561, 5.2561 and 13.4420 Å and the angles 90.00°, 90.00° and 90.00°. The inequivalent atoms are K at (0.0000, 0.0000, 0.0000), Rb at (0.0000, 0.5000, 0.2500) and F at (0.0000, 0.0000, 0.1901).

The energy comes out at -3.48 eV per atom.

This record from Alexandria describes a geometry-optimized K3RbF structure. The functional is GGA-PBEsol.

The structure belongs to space group Pm-3m (No. 221); the cell edges are 6.1187, 6.1187 and 6.1187 Å and the angles 90.00°, 90.00° and 90.00°. The inequivalent atoms are K at (0.0000, 0.0000, 0.5000), Rb at (0.5000, 0.5000, 0.5000) and F at (0.0000, 0.0000, 0.0000).

The energy comes out at -2.16 eV per atom.

This record from Alexandria describes a geometry-optimized KRb2RuF6 structure. The functional is GGA-PBEsol.

The structure belongs to space group Fm-3m (No. 225); the cell edges are 8.9041, 8.9041 and 8.9041 Å and the angles 90.00°, 90.00° and 90.00°. The inequivalent atoms are K at (0.0000, 0.0000, 0.0000), Rb at (0.2500, 0.2500, 0.2500), Ru at (0.0000, 0.0000, 0.5000) and F at (0.0000, 0.0000, 0.2765).

The energy comes out at -4.85 eV per atom.

This record from Alexandria describes a geometry-optimized KRb2ScF6 structure. The functional is GGA-PBEsol.

The structure belongs to space group P2_1/c (No. 14); the cell edges are 6.2996, 6.4034 and 10.9377 Å and the angles 90.00°, 125.09° and 90.00°. The inequivalent atoms are K at (0.0000, 0.0000, 0.0000), Rb at (0.2581, 0.0378, 0.7495), Sc at (0.5000, 0.0000, 0.5000), F at (0.2089, 0.0250, 0.2809), F at (0.2768, 0.6826, 0.0338) and F at (0.3637, 0.2439, 0.0426).

The energy comes out at -5.46 eV per atom.

This record from Alexandria describes a geometry-optimized K2RbScF6 structure. The functional is GGA-PBEsol.

The structure belongs to space group Fm-3m (No. 225); the cell edges are 9.1810, 9.1810 and 9.1810 Å and the angles 90.00°, 90.00° and 90.00°. The inequivalent atoms are K at (0.2500, 0.2500, 0.2500), Rb at (0.0000, 0.0000, 0.0000), Sc at (0.0000, 0.0000, 0.5000) and F at (0.0000, 0.0000, 0.2814).

The energy comes out at -5.38 eV per atom.

This record from Alexandria describes a geometry-optimized KRb2SiF7 structure. The functional is GGA-PBEsol.

The structure belongs to space group Cmmm (No. 65); the cell edges are 10.9481, 11.1401 and 5.6745 Å and the angles 90.00°, 90.00° and 90.00°. The inequivalent atoms are K at (0.1938, 0.0000, 0.0000), Rb at (0.0000, 0.3067, 0.0000), Rb at (0.2500, 0.2500, 0.5000), Si at (0.0000, 0.0000, 0.5000), Si at (0.0000, 0.5000, 0.5000), F at (0.0000, 0.1073, 0.2848), F at (0.0000, 0.3470, 0.5000), F at (0.1097, 0.5000, 0.2855), F at (0.1555, 0.0000, 0.5000) and F at (0.2500, 0.2500, 0.0000).

The energy comes out at -5.14 eV per atom.

This record from Alexandria describes a geometry-optimized KRb2YF6 structure. The functional is GGA-PBEsol.

The structure belongs to space group P2_1/c (No. 14); the cell edges are 6.5625, 7.1982 and 9.2946 Å and the angles 90.00°, 103.14° and 90.00°. The inequivalent atoms are K at (0.0000, 0.0000, 0.0000), Rb at (0.4311, 0.0036, 0.2781), Y at (0.0000, 0.0000, 0.5000), F at (0.0272, 0.0002, 0.2753), F at (0.2494, 0.7089, 0.0548) and F at (0.2512, 0.2073, 0.5549).

The energy comes out at -5.42 eV per atom.

This record from Alexandria describes a geometry-optimized KRhF6 structure. The functional is GGA-PBEsol.

The structure belongs to space group R-3 (No. 148, hexagonal axes); the cell edges are 5.4403, 5.4403 and 15.4706 Å and the angles 90.00°, 90.00° and 120.00°. The inequivalent atoms are K at (0.0000, 0.0000, 0.0000), Rh at (0.0000, 0.0000, 0.5000) and F at (0.0288, 0.6082, 0.0965).

The energy comes out at -4.47 eV per atom.

This record from Alexandria describes a geometry-optimized K3RhF6 structure. The functional is GGA-PBEsol.

The structure belongs to space group Fm-3m (No. 225); the cell edges are 8.7976, 8.7976 and 8.7976 Å and the angles 90.00°, 90.00° and 90.00°. The inequivalent atoms are K at (0.0000, 0.0000, 0.0000), K at (0.2500, 0.2500, 0.2500), Rh at (0.0000, 0.0000, 0.5000) and F at (0.0000, 0.0000, 0.2762).

The energy comes out at -4.66 eV per atom.

This record from Alexandria describes a geometry-optimized K2RhF6 structure. The functional is GGA-PBEsol.

The structure belongs to space group P-3m1 (No. 164); the cell edges are 5.6965, 5.6965 and 4.6123 Å and the angles 90.00°, 90.00° and 120.00°. The inequivalent atoms are K at (0.3333, 0.6667, 0.2146), Rh at (0.0000, 0.0000, 0.5000) and F at (0.1625, 0.3250, 0.7284).

The energy comes out at -4.67 eV per atom.

Look up the energy of the ninth one. -5.42 eV per atom

The lowest energy belongs to which entry? KRePtF2

Among the records above, which one has the lowest energy? KRePtF2